No. 1
Compound: Er6Tm12Sc
Source: Alexandria
Functional: PBE-GGA
Structure: optimized geometry

It has space group R-3 (No. 148, hexagonal axes), with a = 12.0456 Å, b = 12.0456 Å, c = 14.0092 Å, α = 90.00°, β = 90.00° and γ = 120.00°. The asymmetric unit holds Er at (0.0294, 0.4407, 0.2109), Tm at (0.0459, 0.1820, 0.3084), Tm at (0.0692, 0.8718, 0.9058) and Sc at (0.0000, 0.0000, 0.5000).

For the excess energy over the best structure of this formula in the dataset, the calculation gives 0.000 eV/atom. Its crystal system is trigonal.

---

No. 2
Compound: ErTmSc14
Source: Alexandria
Functional: PBE-GGA
Structure: optimized geometry

It has space group Amm2 (No. 38), with a = 10.389 Å, b = 6.700 Å, c = 11.586 Å, α = 90.00°, β = 90.00° and γ = 90.00°. The asymmetric unit holds Er at (0.000, 0.000, 0.000), Tm at (0.000, 0.000, 0.500), Sc at (0.000, 0.250, 0.251), Sc at (0.252, 0.000, 0.669), Sc at (0.253, 0.000, 0.169), Sc at (0.257, 0.250, 0.417), Sc at (0.500, 0.000, 0.002), Sc at (0.500, 0.000, 0.502) and Sc at (0.500, 0.250, 0.251).

Its crystal system is orthorhombic.

---

No. 3
Compound: Er5Tm12Sc
Source: Alexandria
Functional: PBE-GGA
Structure: optimized geometry

It has space group C2/m (No. 12), with a = 6.054 Å, b = 10.483 Å, c = 17.039 Å, α = 90.00°, β = 96.81° and γ = 90.00°. The asymmetric unit holds Er at (0.000, 0.000, 0.000), Er at (0.000, 0.167, 0.500), Er at (0.000, 0.333, 0.000), Tm at (0.111, 0.167, 0.831), Tm at (0.111, 0.500, 0.831), Tm at (0.221, 0.335, 0.664), Tm at (0.225, 0.000, 0.664) and Sc at (0.000, 0.500, 0.500).

Its crystal system is monoclinic.

---

No. 4
Compound: Er3Tm5Sc2
Source: Alexandria
Functional: PBE-GGA
Structure: optimized geometry

It has space group P-1 (No. 2), with a = 7.709 Å, b = 9.121 Å, c = 9.127 Å, α = 69.03°, β = 85.18° and γ = 75.34°. The asymmetric unit holds Er at (0.174, 0.274, 0.425), Er at (0.224, 0.925, 0.975), Er at (0.276, 0.575, 0.524), Tm at (0.022, 0.325, 0.774), Tm at (0.128, 0.625, 0.877), Tm at (0.326, 0.226, 0.075), Tm at (0.372, 0.875, 0.623), Tm at (0.478, 0.174, 0.727), Sc at (0.073, 0.977, 0.326) and Sc at (0.427, 0.523, 0.173).

For the excess energy over the best structure of this formula in the dataset, the calculation gives 0.000 eV/atom. Its crystal system is triclinic.

---

No. 5
Compound: Er6TmSc
Source: Alexandria
Functional: PBE-GGA
Structure: optimized geometry

It has space group P-1 (No. 2), with a = 6.015 Å, b = 6.015 Å, c = 6.949 Å, α = 89.98°, β = 73.19° and γ = 80.32°. The asymmetric unit holds Er at (0.001, 0.000, 0.248), Er at (0.496, 0.250, 0.627), Er at (0.498, 0.253, 0.124), Tm at (0.000, 0.500, 0.500) and Sc at (0.000, 0.500, 0.000).

Its crystal system is triclinic.

---

No. 6
Compound: Er2Tm12Sc5
Source: Alexandria
Functional: PBE-GGA
Structure: optimized geometry

It has space group C2/m (No. 12), with a = 17.555 Å, b = 6.868 Å, c = 10.344 Å, α = 90.00°, β = 104.84° and γ = 90.00°. The asymmetric unit holds Er at (0.000, 0.234, 0.000), Tm at (0.007, 0.000, 0.647), Tm at (0.122, 0.500, 0.825), Tm at (0.168, 0.248, 0.574), Tm at (0.206, 0.266, 0.119), Sc at (0.000, 0.500, 0.500), Sc at (0.139, 0.000, 0.875) and Sc at (0.151, 0.000, 0.299).

Its crystal system is monoclinic.

---

No. 7
Compound: Er4Tm3Sc4
Source: Alexandria
Functional: PBE-GGA
Structure: optimized geometry

It has space group P-1 (No. 2), with a = 3.423 Å, b = 4.806 Å, c = 19.008 Å, α = 97.26°, β = 95.15° and γ = 90.01°. The asymmetric unit holds Er at (0.047, 0.047, 0.094), Er at (0.316, 0.316, 0.632), Tm at (0.137, 0.137, 0.274), Tm at (0.500, 0.500, 0.000), Sc at (0.228, 0.229, 0.457) and Sc at (0.408, 0.408, 0.816).

For the excess energy over the best structure of this formula in the dataset, the calculation gives 0.000 eV/atom. Its crystal system is triclinic.

---

No. 8
Compound: Er12TmSc7
Source: Alexandria
Functional: PBE-GGA
Structure: optimized geometry

It has space group Im-3m (No. 229), with a = 10.857 Å, b = 10.857 Å, c = 10.857 Å, α = 90.00°, β = 90.00° and γ = 90.00°. The asymmetric unit holds Er at (0.000, 0.257, 0.257), Tm at (0.000, 0.000, 0.000), Sc at (0.000, 0.000, 0.500) and Sc at (0.250, 0.250, 0.250).

For the excess energy over the best structure of this formula in the dataset, the calculation gives 0.527 eV/atom. Its crystal system is cubic.

---

No. 9
Compound: Er3Tm2Sc
Source: Alexandria
Functional: PBE-GGA
Structure: optimized geometry

It has space group C2/c (No. 15), with a = 16.950 Å, b = 6.931 Å, c = 5.995 Å, α = 90.00°, β = 90.06° and γ = 90.00°. The asymmetric unit holds Er at (0.000, 0.128, 0.250), Er at (0.164, 0.376, 0.419), Tm at (0.166, 0.126, 0.915) and Sc at (0.000, 0.377, 0.750).

For the excess energy over the best structure of this formula in the dataset, the calculation gives 0.000 eV/atom. Its crystal system is monoclinic.

---

No. 10
Compound: Er6Tm2Sc5
Source: Alexandria
Functional: PBE-GGA
Structure: optimized geometry

It has space group Pbam (No. 55), with a = 11.263 Å, b = 19.166 Å, c = 3.447 Å, α = 90.00°, β = 90.00° and γ = 90.00°. The asymmetric unit holds Er at (0.058, 0.081, 0.000), Er at (0.089, 0.366, 0.000), Er at (0.171, 0.626, 0.500), Tm at (0.153, 0.787, 0.000), Sc at (0.000, 0.500, 0.500), Sc at (0.105, 0.224, 0.500) and Sc at (0.197, 0.948, 0.500).

Its crystal system is orthorhombic.

---

No. 11
Compound: Er3Tm6Sc
Source: Alexandria
Functional: PBE-GGA
Structure: optimized geometry

It has space group Cmc2_1 (No. 36), with a = 10.754 Å, b = 18.588 Å, c = 6.051 Å, α = 90.00°, β = 90.00° and γ = 90.00°. The asymmetric unit holds Er at (0.000, 0.110, 0.000), Er at (0.167, 0.390, 0.387), Tm at (0.000, 0.218, 0.571), Tm at (0.000, 0.450, 0.862), Tm at (0.164, 0.047, 0.466), Tm at (0.250, 0.210, 0.293) and Sc at (0.000, 0.291, 0.076).

Its crystal system is orthorhombic.

---

No. 12
Compound: Er8Tm3Sc2
Source: Alexandria
Functional: PBE-GGA
Structure: optimized geometry

It has space group C2/m (No. 12), with a = 14.576 Å, b = 8.983 Å, c = 6.579 Å, α = 90.00°, β = 109.14° and γ = 90.00°. The asymmetric unit holds Er at (0.090, 0.000, 0.221), Er at (0.120, 0.181, 0.691), Er at (0.190, 0.500, 0.394), Tm at (0.000, 0.329, 0.000), Tm at (0.000, 0.500, 0.500) and Sc at (0.203, 0.500, 0.922).

For the excess energy over the best structure of this formula in the dataset, the calculation gives 0.000 eV/atom. Its crystal system is monoclinic.

---

no.,calculated density (Mg/m³),E_form (eV/f.u.),raw total energy (eV per atom)
1,8.70,3.404,-4.4191
2,3.98,0.132,-6.0965
3,9.00,0.338,-4.5814
4,8.23,0.414,-4.8296
5,8.53,0.285,-4.7369
6,7.13,7.300,-4.5864
7,7.29,0.534,-5.1325
8,6.46,13.993,-4.4777
9,8.34,0.234,-4.7881
10,6.99,1.513,-5.1127
11,8.57,1.446,-4.5403
12,7.90,3.030,-4.5808